No. 1
RbBeBr2 | PBE-GGA | optimized geometry

a b c (Å): 4.516 4.498 7.146
angles (deg): 90.00 108.11 90.00
Fractional positions:
1 Br 0.617 0.500 0.822
2 Be 0.061 0.500 0.707
3 Rb 0.282 0.000 0.141
4 Br 0.904 0.500 0.390

Output
Its crystal system is monoclinic. The density of states at the Fermi level comes out at 0.416 states/eV per cell. For the formation energy from raw total energies, the calculation gives -2.818 eV/f.u. The size of the total moment comes out at 0.000 μB/atom. The mass density is 3.1 g/cm³. The total energy comes out at -10.9 eV/cell.

***

No. 2
SmYSc2In4 | PBE-GGA | optimized geometry

a b c (Å): 5.209 5.209 9.038
angles (deg): 73.25 73.25 60.00
Fractional positions:
1 In 0.126 0.126 0.623
2 Y 0.500 0.500 0.500
3 In 0.874 0.874 0.377
4 Sc 0.750 0.750 0.750
5 Sm 0.000 0.000 0.000
6 In 0.376 0.376 0.873
7 In 0.624 0.624 0.127
8 Sc 0.250 0.250 0.250

Output
For the calculated formation energy, the calculation gives -0.4377 eV per atom. Its crystal system is trigonal. The density of states at the Fermi level comes out at 4.273 states/eV per cell. The size of the total moment comes out at 0.000 μB/atom. The mass density is 6.5 g/cm³. The total energy comes out at -38.3 eV/cell.

***

No. 3
Sc2TeOs | PBE-GGA | optimized geometry

a b c (Å): 9.151 9.151 9.151
angles (deg): 21.76 21.76 21.76
Fractional positions:
1 Sc 0.089 0.089 0.089
2 Te 0.500 0.500 0.500
3 Sc 0.911 0.911 0.911
4 Os 0.000 0.000 0.000

Output
Its crystal system is trigonal. The density of states at the Fermi level comes out at 2.596 states/eV per cell. For the formation energy from raw total energies, the calculation gives 1.409 eV/f.u. The size of the total moment comes out at 0.000 μB/atom. The mass density is 7.3 g/cm³. The total energy comes out at -25.6 eV/cell.

***

No. 4
Er2PuIn | PBE-GGA | optimized geometry

a b c (Å): 4.614 4.866 4.866
angles (deg): 90.00 90.00 90.00
Each line ends with the local moment (μB).
Fractional positions:
1 In 0.500 0.000 0.000  -0.05
2 Pu 0.500 0.500 0.500  5.57
3 Er 0.000 0.500 0.000  0.38
4 Er 0.000 0.000 0.500  0.38

Output
For the calculated formation energy, the calculation gives -0.1401 eV per atom. Its crystal system is tetragonal. The density of states at the Fermi level comes out at 10.628 states/eV per cell. The size of the total moment comes out at 1.672 μB/atom. The mass density is 10.5 g/cm³. The total energy comes out at -26.8 eV/cell.

***

No. 5
Al2ZnNi | PBE-GGA | optimized geometry

a b c (Å): 4.066 5.045 5.648
angles (deg): 90.00 90.00 90.00
Fractional positions:
1 Ni 0.500 0.250 0.650
2 Zn 0.000 0.500 0.500
3 Ni 0.500 0.750 0.350
4 Al 0.000 0.750 0.100
5 Al 0.500 0.250 0.207
6 Al 0.000 0.250 0.900
7 Zn 0.000 0.000 0.500
8 Al 0.500 0.750 0.793

Output
For the calculated formation energy, the calculation gives -0.1978 eV per atom. Its crystal system is orthorhombic. The density of states at the Fermi level comes out at 1.333 states/eV per cell. The size of the total moment comes out at 0.000 μB/atom. The mass density is 5.1 g/cm³. The total energy comes out at -30.7 eV/cell.

***

No. 6
SiBPCl2 | PBE-GGA | optimized geometry

a b c (Å): 4.163 4.163 4.635
angles (deg): 90.00 90.00 90.00
Fractional positions:
1 Si 0.500 0.500 0.500
2 B 0.000 0.000 0.000
3 Cl 0.000 0.500 0.000
4 Cl 0.500 0.000 0.000
5 P 0.000 0.000 0.500

Output
Its crystal system is tetragonal. The density of states at the Fermi level comes out at 1.515 states/eV per cell. For the formation energy from raw total energies, the calculation gives 3.756 eV/f.u. The size of the total moment comes out at 0.000 μB/atom. The mass density is 2.9 g/cm³. The total energy comes out at -17.4 eV/cell.